A plane-wave DFT calculation with GGA-PBE was carried out for Cs2DyNp2Se6 after structural relaxation.

Values from the calculation:
E_form (uncorrected)   -1412.6 meV/atom
Theoretical density   5.804 g/cm³
DFT total energy   -68.64 eV for the cell shown

extended XYZ file:
```
11
Lattice="3.641 -6.310 0.000 3.641 6.310 0.000 -2.396 0.000 8.569" Properties=species:S:1:pos:R:3 pbc="T T T"
Cs 3.641 4.221 0.000
Cs 3.641 -4.221 0.000
Dy -1.198 0.000 4.285
Np 2.443 2.100 4.285
Np 2.443 -2.100 4.285
Se 0.023 2.119 5.835
Se 1.243 0.000 2.734
Se 0.023 -2.119 5.835
Se 4.863 2.119 2.734
Se 3.643 0.000 5.836
Se 4.863 -2.119 2.734
```